Run w
Compound: DyEr2Ga3
Source: Alexandria
Functional: PBE-GGA
Structure: relaxed

```
12
Lattice="2.257 -10.392 0.000 2.257 10.392 0.000 0.000 0.000 6.160" Properties=species:S:1:pos:R:3 pbc="T T T"
Dy 2.257 6.675 4.620
Dy 2.257 -6.675 1.540
Er 2.257 2.915 4.620
Er 2.257 0.684 1.540
Er 2.257 -0.684 4.620
Er 2.257 -2.915 1.540
Ga 2.257 9.085 0.261
Ga 2.257 9.085 2.819
Ga 2.257 5.548 1.540
Ga 2.257 -5.548 4.620
Ga 2.257 -9.085 3.341
Ga 2.257 -9.085 5.900
```



Run x
Compound: DyEr2Ga3
Source: Alexandria
Functional: PBE-GGA
Structure: relaxed

```
12
Lattice="5.016 0.000 0.000 -2.508 4.344 0.000 0.000 0.000 12.314" Properties=species:S:1:pos:R:3 pbc="T T T"
Dy 0.000 2.896 2.053
Dy 2.508 1.448 10.261
Er 0.000 0.000 0.000
Er 0.000 0.000 6.157
Er 0.000 2.896 8.198
Er 2.508 1.448 4.116
Ga 0.000 0.000 3.089
Ga 0.000 0.000 9.225
Ga 0.000 2.896 5.139
Ga 0.000 2.896 11.282
Ga 2.508 1.448 1.033
Ga 2.508 1.448 7.175
```



It turns out run x is the most stable, with the second structure 0.078 eV/atom higher.



Run w
Compound: DyErGaGe
Source: Alexandria
Functional: PBE-GGA
Structure: relaxed

```
8
Lattice="3.988 0.000 0.000 0.000 4.301 0.000 0.000 0.000 10.735" Properties=species:S:1:pos:R:3 pbc="T T T"
Dy 0.000 0.000 0.000
Dy 0.000 2.150 5.368
Er 1.994 0.000 2.999
Er 1.994 2.150 8.366
Ga 1.994 0.000 6.010
Ga 1.994 2.150 0.643
Ge 0.000 0.000 7.727
Ge 0.000 2.150 2.360
```



Run x
Compound: DyErGaGe
Source: Alexandria
Functional: PBE-GGA
Structure: relaxed

```
16
Lattice="7.119 0.000 0.000 0.000 7.119 0.000 0.000 0.000 7.119" Properties=species:S:1:pos:R:3 pbc="T T T"
Dy 0.000 0.000 0.000
Dy 0.000 3.560 3.560
Dy 3.560 0.000 3.560
Dy 3.560 3.560 0.000
Er 0.000 0.000 3.560
Er 0.000 3.560 0.000
Er 3.560 0.000 0.000
Er 3.560 3.560 3.560
Ga 1.780 1.780 1.780
Ga 1.780 5.339 5.339
Ga 5.339 1.780 5.339
Ga 5.339 5.339 1.780
Ge 1.780 1.780 5.339
Ge 1.780 5.339 1.780
Ge 5.339 1.780 1.780
Ge 5.339 5.339 5.339
```



It turns out run w is the most stable, with the second structure 0.215 eV/atom higher.



Run w
Compound: DyErGaHg
Source: Alexandria
Functional: PBE-GGA
Structure: relaxed

```
4
Lattice="3.606 0.000 0.000 0.000 3.606 0.000 0.000 0.000 7.380" Properties=species:S:1:pos:R:3 pbc="T T T"
Dy 0.000 0.000 0.000
Er 0.000 0.000 3.889
Ga 1.803 1.803 5.615
Hg 1.803 1.803 1.985
```



Run x
Compound: DyErGaHg
Source: Alexandria
Functional: PBE-GGA
Structure: relaxed

```
16
Lattice="7.293 0.000 0.000 0.000 7.293 0.000 0.000 0.000 7.293" Properties=species:S:1:pos:R:3 pbc="T T T"
Dy 0.000 0.000 0.000
Dy 0.000 3.647 3.647
Dy 3.647 0.000 3.647
Dy 3.647 3.647 0.000
Er 0.000 0.000 3.647
Er 0.000 3.647 0.000
Er 3.647 0.000 0.000
Er 3.647 3.647 3.647
Ga 1.823 1.823 1.823
Ga 1.823 5.470 5.470
Ga 5.470 1.823 5.470
Ga 5.470 5.470 1.823
Hg 1.823 1.823 5.470
Hg 1.823 5.470 1.823
Hg 5.470 1.823 1.823
Hg 5.470 5.470 5.470
```



It turns out run w is the most stable, with the second structure 0.022 eV/atom higher.



Run w
Compound: DyErGaPt
Source: Alexandria
Functional: PBE-GGA
Structure: relaxed

```
8
Lattice="4.438 0.000 0.000 0.000 3.749 0.000 0.000 0.000 10.859" Properties=species:S:1:pos:R:3 pbc="T T T"
Dy 0.000 0.000 0.000
Dy 0.000 1.875 5.429
Er 2.219 0.000 7.774
Er 2.219 1.875 2.345
Ga 0.000 0.000 3.034
Ga 0.000 1.875 8.463
Pt 2.219 0.000 4.721
Pt 2.219 1.875 10.150
```



Run x
Compound: DyErGaPt
Source: Alexandria
Functional: PBE-GGA
Structure: relaxed

```
16
Lattice="7.046 0.000 0.000 0.000 7.046 0.000 0.000 0.000 7.046" Properties=species:S:1:pos:R:3 pbc="T T T"
Dy 0.000 0.000 0.000
Dy 0.000 3.523 3.523
Dy 3.523 0.000 3.523
Dy 3.523 3.523 0.000
Er 0.000 0.000 3.523
Er 0.000 3.523 0.000
Er 3.523 0.000 0.000
Er 3.523 3.523 3.523
Ga 1.762 1.762 1.762
Ga 1.762 5.285 5.285
Ga 5.285 1.762 5.285
Ga 5.285 5.285 1.762
Pt 1.762 1.762 5.285
Pt 1.762 5.285 1.762
Pt 5.285 1.762 1.762
Pt 5.285 5.285 5.285
```



It turns out run w is the most stable, with the second structure 0.068 eV/atom higher.



Run w
Compound: DyErGaSn
Source: Alexandria
Functional: PBE-GGA
Structure: relaxed

```
8
Lattice="4.143 0.000 0.000 0.000 4.440 0.000 0.000 0.000 11.088" Properties=species:S:1:pos:R:3 pbc="T T T"
Dy 0.000 0.000 0.000
Dy 0.000 2.220 5.544
Er 2.071 0.000 3.086
Er 2.071 2.220 8.630
Ga 2.071 0.000 6.071
Ga 2.071 2.220 0.527
Sn 0.000 0.000 7.947
Sn 0.000 2.220 2.403
```



Run x
Compound: DyErGaSn
Source: Alexandria
Functional: PBE-GGA
Structure: relaxed

```
16
Lattice="7.348 0.000 0.000 0.000 7.348 0.000 0.000 0.000 7.348" Properties=species:S:1:pos:R:3 pbc="T T T"
Dy 0.000 0.000 0.000
Dy 0.000 3.674 3.674
Dy 3.674 0.000 3.674
Dy 3.674 3.674 0.000
Er 0.000 0.000 3.674
Er 0.000 3.674 0.000
Er 3.674 0.000 0.000
Er 3.674 3.674 3.674
Ga 1.837 1.837 1.837
Ga 1.837 5.511 5.511
Ga 5.511 1.837 5.511
Ga 5.511 5.511 1.837
Sn 1.837 1.837 5.511
Sn 1.837 5.511 1.837
Sn 5.511 1.837 1.837
Sn 5.511 5.511 5.511
```



It turns out run w is the most stable, with the second structure 0.155 eV/atom higher.



Run w
Compound: DyErTlGa
Source: Alexandria
Functional: PBE-GGA
Structure: relaxed

```
4
Lattice="3.560 0.000 0.000 0.000 3.560 0.000 0.000 0.000 7.825" Properties=species:S:1:pos:R:3 pbc="T T T"
Dy 0.000 0.000 0.000
Er 0.000 0.000 4.208
Tl 1.780 1.780 2.125
Ga 1.780 1.780 6.001
```



Run x
Compound: DyErTlGa
Source: Alexandria
Functional: PBE-GGA
Structure: relaxed

```
16
Lattice="7.358 0.000 0.000 0.000 7.358 0.000 0.000 0.000 7.358" Properties=species:S:1:pos:R:3 pbc="T T T"
Dy 0.000 0.000 0.000
Dy 0.000 3.679 3.679
Dy 3.679 0.000 3.679
Dy 3.679 3.679 0.000
Er 0.000 0.000 3.679
Er 0.000 3.679 0.000
Er 3.679 0.000 0.000
Er 3.679 3.679 3.679
Tl 1.840 1.840 5.519
Tl 1.840 5.519 1.840
Tl 5.519 1.840 1.840
Tl 5.519 5.519 5.519
Ga 1.840 1.840 1.840
Ga 1.840 5.519 5.519
Ga 5.519 1.840 5.519
Ga 5.519 5.519 1.840
```



It turns out run w is the most stable, with the second structure 0.029 eV/atom higher.